Record 1
Density functional theory data (GGA-PBE) for crystalline LaTc4Rh at its relaxed geometry.

Results
The space group is F-43m. The formation energy is 0.339 eV/atom. As for the volume: 105.9 Å³/f.u.

Unit cell a=5.3098 b=5.3098 c=5.3098 alpha=60.00 beta=60.00 gamma=60.00
Closest atoms and distances in Å follow each position.
Fractional positions:
La  0.0000  0.0000  0.0000  12 Tc 3.12, 4 Rh 3.25
Tc  0.3765  0.3765  0.3765  6 Tc 2.62-2.69
Tc  0.3765  0.3765  0.8706  6 Tc 2.62-2.69
Tc  0.3765  0.8706  0.3765  6 Tc 2.62-2.69
Tc  0.8706  0.3765  0.3765  6 Tc 2.62-2.69
Rh  0.7500  0.7500  0.7500  12 Tc 3.11, 4 La 3.25

=====

Record 2
Density functional theory data (GGA-PBE) for crystalline Cs3Mg2InF9 at its relaxed geometry.

Results
Its raw formation energy is -2.90 eV per atom. The space group is P-3m1. As for the volume: 252.4 Å³/f.u.

Unit cell a=6.1867 b=6.1867 c=7.6141 alpha=90.00 beta=90.00 gamma=120.00
Closest atoms and distances in Å follow each position.
Fractional positions:
Cs  0.0000  0.0000  0.0000  12 F 3.07-3.09
Cs  0.3333  0.6667  0.6663  12 F 3.10-3.15
Cs  0.6667  0.3333  0.3337  12 F 3.10-3.15
Mg  0.3333  0.6667  0.1520  6 F 2.07-2.13
Mg  0.6667  0.3333  0.8480  6 F 2.07-2.13
In  0.0000  0.0000  0.5000  6 F 2.38
F  0.0000  0.5000  0.0000  2 Mg 2.13
F  0.1787  0.3574  0.3149  1 Mg 2.07
F  0.1787  0.8213  0.3149  1 Mg 2.07
F  0.3574  0.1787  0.6851  1 Mg 2.07
F  0.5000  0.0000  0.0000  2 Mg 2.13
F  0.5000  0.5000  0.0000  2 Mg 2.13
F  0.6426  0.8213  0.3149  1 Mg 2.07
F  0.8213  0.1787  0.6851  1 Mg 2.07
F  0.8213  0.6426  0.6851  1 Mg 2.07

=====

Record 3
Density functional theory data (GGA-PBE) for crystalline SrTePt2 at its relaxed geometry.

Results
Its raw formation energy is -0.30 eV per atom. The space group is P4/mmm. The distance to the lowest polymorph of the same formula comes out at 0.4041 eV per atom. As for the volume: 90.5 Å³/f.u.

Unit cell a=3.7847 b=3.7847 c=6.3191 alpha=90.00 beta=90.00 gamma=90.00
Closest atoms and distances in Å follow each position.
Fractional positions:
Sr  0.0000  0.0000  0.0000  2 Te 3.16, 8 Pt 3.22
Te  0.0000  0.0000  0.5000  8 Pt 3.01, 2 Sr 3.16
Pt  0.5000  0.5000  0.2831  1 Pt 2.74, 4 Te 3.01
Pt  0.5000  0.5000  0.7169  1 Pt 2.74, 4 Te 3.01

=====

Record 4
Density functional theory data (GGA-PBE) for crystalline CaPbBr3 at its relaxed geometry.

Results
Its raw formation energy is -0.73 eV per atom. The space group is Pm-3m. As for the volume: 206.3 Å³/f.u.

Unit cell a=5.9083 b=5.9083 c=5.9083 alpha=90.00 beta=90.00 gamma=90.00
Closest atoms and distances in Å follow each position.
Fractional positions:
Ca  0.0000  0.0000  0.0000  12 Br 4.18
Pb  0.5000  0.5000  0.5000  6 Br 2.95
Br  0.0000  0.5000  0.5000  2 Pb 2.95
Br  0.5000  0.0000  0.5000  2 Pb 2.95
Br  0.5000  0.5000  0.0000  2 Pb 2.95

=====

Record 5
Density functional theory data (GGA-PBE) for crystalline SmHBrCl at its relaxed geometry.

Results
The space group is R3m. As for the final energy: -18.22 eV for the cell shown. As for the volume: 96.8 Å³/f.u.

Unit cell a=7.6647 b=7.6647 c=7.6647 alpha=29.53 beta=29.53 gamma=29.53
Closest atoms and distances in Å follow each position.
Fractional positions:
Sm  0.0000  0.0000  0.0000  3 H 2.26
H  0.6656  0.6656  0.6656  3 Sm 2.26
Br  0.2442  0.2442  0.2442  3 H 2.97, 3 Sm 2.99
Cl  0.4129  0.4129  0.4129  3 Sm 2.85, 3 H 2.87

=====

Record 6
Density functional theory data (GGA-PBE) for crystalline Na2TeIrF at its relaxed geometry.

Results
Its raw formation energy is -0.64 eV per atom. The space group is P4/mmm. As for the volume: 90.7 Å³/f.u.

Unit cell a=4.1846 b=4.1846 c=5.1823 alpha=90.00 beta=90.00 gamma=90.00
Closest atoms and distances in Å follow each position.
Fractional positions:
Na  0.0000  0.5000  0.0000  2 F 2.09
Na  0.5000  0.0000  0.0000  2 F 2.09
Te  0.0000  0.0000  0.5000  4 Ir 2.96
Ir  0.5000  0.5000  0.5000  2 F 2.59
F  0.5000  0.5000  0.0000  4 Na 2.09

=====

Record 7
Density functional theory data (GGA-PBE) for crystalline Pu6Ge2Pt at its relaxed geometry.

Results
The space group is P2_1/c. The formation energy is -0.198 eV/atom. The distance to the lowest polymorph of the same formula comes out at 0.0000 eV per atom. As for the volume: 196.2 Å³/f.u.

Unit cell a=7.2467 b=6.7650 c=10.4085 alpha=90.00 beta=129.72 gamma=90.00
Closest atoms and distances in Å follow each position.
Fractional positions:
Pu  0.0464  0.1417  0.3162  2 Pu 2.59-2.85
Pu  0.0464  0.3583  0.8162  2 Pu 2.59-2.85
Pu  0.3425  0.6679  0.0441  1 Pu 2.49
Pu  0.3425  0.8321  0.5441  1 Pu 2.49
Pu  0.4361  0.1608  0.0328  3 Pu 2.49-2.62
Pu  0.4361  0.3392  0.5328  3 Pu 2.49-2.62
Pu  0.5639  0.6608  0.4672  3 Pu 2.49-2.62
Pu  0.5639  0.8392  0.9672  3 Pu 2.49-2.62
Pu  0.6575  0.1679  0.4559  1 Pu 2.49
Pu  0.6575  0.3321  0.9559  1 Pu 2.49
Pu  0.9536  0.6417  0.1838  2 Pu 2.59-2.85
Pu  0.9536  0.8583  0.6838  2 Pu 2.59-2.85
Ge  0.2206  0.1622  0.6632  1 Pt 2.68, 6 Pu 2.88-2.97
Ge  0.2206  0.3378  0.1632  1 Pt 2.68, 6 Pu 2.88-2.97
Ge  0.7794  0.6622  0.8368  1 Pt 2.68, 6 Pu 2.88-2.97
Ge  0.7794  0.8378  0.3368  1 Pt 2.68, 6 Pu 2.88-2.97
Pt  0.0000  0.0000  0.0000  2 Ge 2.68
Pt  0.0000  0.5000  0.5000  2 Ge 2.68

=====

Record 8
Density functional theory data (GGA-PBE) for crystalline Ta4Cl3 at its relaxed geometry.

Results
Its raw formation energy is 0.91 eV per atom. The space group is P6/mmm. As for the volume: 126.0 Å³/f.u.

Unit cell a=5.3554 b=5.3554 c=5.0744 alpha=90.00 beta=90.00 gamma=120.00
Closest atoms and distances in Å follow each position.
Fractional positions:
Ta  0.0000  0.0000  0.2363  2 Ta 2.40-2.68
Ta  0.0000  0.0000  0.7637  2 Ta 2.40-2.68
Ta  0.3333  0.6667  0.0000  6 Cl 2.97, 9 Ta 3.09-3.32
Ta  0.6667  0.3333  0.0000  6 Cl 2.97, 9 Ta 3.09-3.32
Cl  0.0000  0.5000  0.5000  4 Cl 2.68, 8 Ta 2.97-2.99
Cl  0.5000  0.0000  0.5000  4 Cl 2.68, 8 Ta 2.97-2.99
Cl  0.5000  0.5000  0.5000  4 Cl 2.68, 8 Ta 2.97-2.99

=====

Record 9
Density functional theory data (GGA-PBE) for crystalline MgReSi at its relaxed geometry.

Results
Its raw formation energy is -0.03 eV per atom. The space group is I4mm. As for the volume: 46.7 Å³/f.u.

Unit cell a=5.1512 b=5.1512 c=5.1512 alpha=144.12 beta=144.12 gamma=51.65
Closest atoms and distances in Å follow each position.
Fractional positions:
Mg  0.0000  0.0000  0.0000  5 Si 2.84-2.87, 5 Re 2.86, 4 Mg 3.17
Re  0.6914  0.6914  0.0000  4 Si 2.48
Si  0.3062  0.3062  0.0000  4 Re 2.48

=====

Record 10
Density functional theory data (GGA-PBE) for crystalline Te2RhS at its relaxed geometry.

Results
Its raw formation energy is -0.09 eV per atom. The space group is R-3m. As for the volume: 108.5 Å³/f.u.

Unit cell a=7.9456 b=7.9456 c=7.9456 alpha=29.63 beta=29.63 gamma=29.63
Closest atoms and distances in Å follow each position.
Fractional positions:
Te  0.1098  0.1098  0.1098  1 S 2.50, 3 Rh 2.68
Te  0.8902  0.8902  0.8902  1 S 2.50, 3 Rh 2.68
Rh  0.5000  0.5000  0.5000  6 Te 2.68
S  0.0000  0.0000  0.0000  2 Te 2.50

=====

Record 11
Density functional theory data (GGA-PBE) for crystalline PmHfTi2 at its relaxed geometry.

Results
The space group is P4/mmm. The formation energy is 0.178 eV/atom. As for the volume: 90.0 Å³/f.u.

Unit cell a=3.6311 b=3.6311 c=6.8265 alpha=90.00 beta=90.00 gamma=90.00
Closest atoms and distances in Å follow each position.
Fractional positions:
Pm  0.0000  0.0000  0.0000  8 Ti 3.29, 2 Hf 3.41, 4 Pm 3.63
Hf  0.0000  0.0000  0.5000  8 Ti 2.91
Ti  0.5000  0.5000  0.3004  1 Ti 2.72, 4 Hf 2.91
Ti  0.5000  0.5000  0.6996  1 Ti 2.72, 4 Hf 2.91

=====

Record 12
Density functional theory data (GGA-PBE) for crystalline LaNdTc at its relaxed geometry.

Results
The space group is I4mm. The formation energy is 0.098 eV/atom. The distance to the lowest polymorph of the same formula comes out at 0.0000 eV per atom. As for the volume: 85.8 Å³/f.u.

Unit cell a=7.3064 b=7.3064 c=7.3064 alpha=152.00 beta=152.00 gamma=40.01
Closest atoms and distances in Å follow each position.
Fractional positions:
La  0.0000  0.0000  0.0000  4 Tc 3.03
Nd  0.7502  0.7502  0.0000  4 Tc 3.03
Tc  0.3749  0.3749  0.0000  4 Nd 3.03, 4 La 3.03